# Ac2PuNpO6 (PBE, relaxed)
data_Ac2PuNpO6
_chemical_formula_sum 'Ac4 Pu2 Np2 O12'
_cell_length_a 6.1574
_cell_length_b 6.3208
_cell_length_c 10.7053
_cell_angle_alpha 90.00
_cell_angle_beta 125.07
_cell_angle_gamma 90.00
_space_group_name_H-M_alt 'P 1 21/c 1'
_space_group_IT_number 14
loop_
_space_group_symop_operation_xyz
'x,y,z'
'-x,-y,-z'
'-x,y+1/2,-z+1/2'
'x,-y+1/2,z+1/2'
loop_
_atom_site_label
_atom_site_type_symbol
_atom_site_fract_x
_atom_site_fract_y
_atom_site_fract_z
_atom_site_occupancy
Ac1 Ac 0.2385 0.0505 0.2492 1
Pu1 Pu 0.0000 0.0000 0.5000 1
Np1 Np 0.5000 0.0000 0.0000 1
O1 O 0.1337 0.1883 0.9387 1
O2 O 0.2472 0.6958 0.9349 1
O3 O 0.3784 0.0579 0.7536 1
# DOS(E_F)   22.76 states/eV per cell
# Uncorrected formation energy   -3.03 eV/atom